## Ba2HgAuN (PBE)

Data for a relaxed Ba2HgAuN crystal.

Its crystal system is tetragonal. The uncorrected formation energy is -0.312 eV per atom. Its magnetic moment is 0.00 μB/f.u. For the theoretical density, the calculation gives 8.04 Mg/m³.

The space group is P4/mmm (No. 123) and the conventional cell measures 5.814, 5.814 and 4.194 Å, with angles of 90.00, 90.00 and 90.00 degrees. The inequivalent atoms are Ba at (0.000, 0.500, 0.000), Hg at (0.000, 0.000, 0.500), Au at (0.500, 0.500, 0.500) and N at (0.500, 0.500, 0.000).


## Ba3Na2Hg4Au2 (PBE)

Data for a relaxed Ba3Na2Hg4Au2 crystal.

Its crystal system is trigonal. As for the formation energy: -479 kJ/mol of formula units. Its magnetic moment is 0.00 μB/f.u. For the theoretical density, the calculation gives 7.41 Mg/m³.

The space group is P-3m1 (No. 164) and the conventional cell measures 5.0496, 5.0496 and 16.7917 Å, with angles of 90.00, 90.00 and 120.00 degrees. The inequivalent atoms are Ba at (0.0000, 0.0000, 0.0000), Ba at (0.0000, 0.0000, 0.2485), Na at (0.3333, 0.6667, 0.5614), Hg at (0.3333, 0.6667, 0.3686), Hg at (0.3333, 0.6667, 0.8718) and Au at (0.3333, 0.6667, 0.1268).


## BaNa2HgAu (PBE)

Data for a relaxed BaNa2HgAu crystal.

Its crystal system is tetragonal. As for the formation energy: -112 kJ/mol of formula units. Its magnetic moment is 0.00 μB/f.u. For the theoretical density, the calculation gives 4.96 Mg/m³.

The space group is P4/mmm (No. 123) and the conventional cell measures 5.562, 5.562 and 6.289 Å, with angles of 90.00, 90.00 and 90.00 degrees. The inequivalent atoms are Ba at (0.000, 0.000, 0.000), Na at (0.000, 0.500, 0.500), Hg at (0.500, 0.500, 0.000) and Au at (0.000, 0.000, 0.500).


## Ba2NaHg6Au (PBE)

Data for a relaxed Ba2NaHg6Au crystal.

Its crystal system is cubic. As for the formation energy: -193 kJ/mol of formula units. Its magnetic moment is 0.00 μB/f.u. For the theoretical density, the calculation gives 8.24 Mg/m³.

The space group is Fm-3m (No. 225) and the conventional cell measures 11.102, 11.102 and 11.102 Å, with angles of 90.00, 90.00 and 90.00 degrees. The inequivalent atoms are Ba at (0.250, 0.250, 0.250), Na at (0.000, 0.000, 0.000), Hg at (0.000, 0.000, 0.251) and Au at (0.000, 0.000, 0.500).